[1]
Below is a geometry-optimized Tb2SmSe structure, with properties calculated at the PBE level.

Magnetization = 0.77 μB/f.u.
Total energy = -4.936 eV per atom
Energy relative to the lowest polymorph listed for this composition = 242 meV per atom
Formation energy (no corrections) = -0.57 eV per atom

Cell and atoms, written as POSCAR:
```
Tb2SmSe
1.0
3.743 0.000 0.000
1.872 3.242 0.000
1.872 1.081 10.424
Se Sm Tb
1 1 2
Cartesian
3.743 2.161 5.212
0.000 0.000 0.000
5.615 3.242 3.410
1.872 1.081 7.014
```

---

[2]
Below is a geometry-optimized SnTeF3 structure, with properties calculated at the PBE level.

Magnetization = 0.00 μB/f.u.
Total energy = -3.538 eV per atom
Energy relative to the lowest polymorph listed for this composition = 369 meV per atom
Formation energy (no corrections) = -0.99 eV per atom

Cell and atoms, written as POSCAR:
```
SnTeF3
1.0
4.683 0.000 0.000
0.000 4.683 0.000
0.000 0.000 4.683
F Sn Te
3 1 1
Cartesian
0.000 0.000 2.342
0.000 2.342 0.000
2.342 0.000 0.000
2.342 2.342 2.342
0.000 0.000 0.000
```

---

[3]
Below is a geometry-optimized HRhAuBr structure, with properties calculated at the PBE level.

Magnetization = 0.00 μB/f.u.
Total energy = -3.713 eV per atom
Energy relative to the lowest polymorph listed for this composition = 34 meV per atom

Cell and atoms, written as POSCAR:
```
HRhAuBr
1.0
3.442 0.000 0.003
0.001 3.591 0.003
0.627 1.699 5.992
Au Rh Br H
1 1 1 1
Cartesian
1.361 0.564 0.076
3.679 4.057 4.979
1.956 4.074 3.154
0.336 2.339 0.479
```

---

[4]
Below is a geometry-optimized TbZnSn structure, with properties calculated at the PBE level.

Magnetization = 0.00 μB/f.u.
Formation energy from the elements = -0.45 eV per atom
Total energy = -3.750 eV per atom

Cell and atoms, written as POSCAR:
```
TbZnSn
1.0
4.143 0.000 0.000
0.000 6.124 0.000
0.000 0.000 11.149
Tb Sn Zn
4 4 4
Cartesian
1.036 4.592 0.772
3.107 4.594 6.346
1.036 1.530 4.803
3.107 1.532 10.377
3.107 1.532 7.159
3.107 4.594 9.564
1.036 1.530 1.584
1.036 4.592 3.990
3.107 3.061 2.786
1.036 3.063 8.362
3.107 6.123 2.788
1.036 0.001 8.361
```

---

> What is the formula in the third record?

HRhAuBr

---

> magnetization of number 1 (Tb2SmSe)?

0.77 μB/f.u.

---

> Which of these has the highest magnetization?

Tb2SmSe